DFT (PBE) results for crystalline TbV4 at its relaxed geometry.

Properties
DFT formation energy (meV per atom): 2059
Crystal system: cubic
Total energy (eV/atom): -6.1624

Unit cell a=4.6787 b=4.6787 c=4.6787 alpha=90.00 beta=90.00 gamma=90.00
Closest atoms and distances in Å follow each position.
Fractional coordinates of all 5 atoms:
V1 0.0000 0.5000 0.5000  2 Tb 2.34
V2 0.0000 0.0000 0.0000  12 V 3.31
V3 0.5000 0.5000 0.0000  2 Tb 2.34
Tb1 0.5000 0.5000 0.5000  6 V 2.34
V4 0.5000 0.0000 0.5000  2 Tb 2.34

=====

DFT (PBE) results for crystalline TbV3 at its relaxed geometry.

Properties
DFT formation energy (meV per atom): 500
Crystal system: orthorhombic
Total energy (eV/atom): -7.4967

Unit cell a=3.3041 b=4.3494 c=5.0330 alpha=90.00 beta=90.00 gamma=90.00
Closest atoms and distances in Å follow each position.
Fractional coordinates of all 4 atoms:
Tb1 0.0000 0.5000 0.3592  10 V 2.89-3.14
V1 0.0000 0.0000 0.9088  2 V 2.45
V2 0.5000 0.5000 0.8489  6 V 2.65-2.75
V3 0.5000 0.0000 0.5497  4 V 2.45-2.65

=====

DFT (PBE) results for crystalline Tb2VZn at its relaxed geometry.

Properties
Excess energy over the best structure of this formula in the dataset (eV/atom): 0.000
DFT formation energy (meV per atom): 35
Crystal system: tetragonal
Total energy (eV/atom): -4.8782

Unit cell a=3.6528 b=5.0312 c=5.0312 alpha=90.00 beta=90.00 gamma=90.00
Closest atoms and distances in Å follow each position.
Fractional coordinates of all 4 atoms:
Zn1 0.5000 0.5000 0.5000  8 Tb 3.11
V1 0.5000 0.0000 0.0000  8 Tb 3.11
Tb1 0.0000 0.0000 0.5000  4 Zn 3.11, 4 V 3.11
Tb2 0.0000 0.5000 0.0000  4 V 3.11, 4 Zn 3.11

=====

DFT (PBE) results for crystalline TbVZn2 at its relaxed geometry.

Properties
DFT formation energy (meV per atom): 282
Crystal system: trigonal
Total energy (eV/atom): -3.7918

Unit cell a=3.0635 b=3.0635 c=9.4419 alpha=80.66 beta=80.66 gamma=60.00
Closest atoms and distances in Å follow each position.
Fractional coordinates of all 4 atoms:
Zn1 0.7402 0.7402 0.7795  3 V 2.70
Zn2 0.2598 0.2598 0.2205  3 V 2.70
Tb1 0.5000 0.5000 0.5000  6 Tb 3.06, 6 Zn 3.14
V1 0.0000 0.0000 0.0000  6 Zn 2.70

=====

DFT (PBE) results for crystalline TbVZn at its relaxed geometry.

Properties
DFT formation energy (meV per atom): 35
Crystal system: monoclinic
Total energy (eV/atom): -4.9722

Unit cell a=5.8892 b=5.8892 c=6.6959 alpha=130.59 beta=130.59 gamma=47.96
Closest atoms and distances in Å follow each position.
Fractional coordinates of all 6 atoms:
Tb1 0.7459 0.7459 0.8010  4 Zn 2.93-3.13, 3 V 2.98-3.16
V1 0.5604 0.5604 0.1956  1 V 1.92
Zn1 0.9279 0.9279 0.5896  1 Zn 2.55, 3 V 2.75-2.78
Tb2 0.2541 0.2541 0.1990  4 Zn 2.93-3.13, 3 V 2.98-3.16
Zn2 0.0721 0.0721 0.4104  1 Zn 2.55, 3 V 2.75-2.78
V2 0.4396 0.4396 0.8044  1 V 1.92

=====

DFT (PBE) results for crystalline Tb2VZn at its relaxed geometry.

Properties
Excess energy over the best structure of this formula in the dataset (eV/atom): 0.526
DFT formation energy (meV per atom): 561
Crystal system: trigonal
Total energy (eV/atom): -4.3521

Unit cell a=3.2816 b=3.2816 c=10.7476 alpha=81.22 beta=81.22 gamma=60.00
Closest atoms and distances in Å follow each position.
Fractional coordinates of all 4 atoms:
Tb1 0.9091 0.9091 0.2728  1 V 2.89, 3 Zn 3.06
Tb2 0.0909 0.0909 0.7272  1 V 2.89, 3 Zn 3.06
V1 0.0000 0.0000 0.0000  2 Tb 2.89
Zn1 0.5000 0.5000 0.5000  6 Tb 3.06, 6 Zn 3.28

=====

DFT (PBE) results for crystalline TbZrV at its relaxed geometry.

Properties
DFT formation energy (meV per atom): 352
Crystal system: orthorhombic
Total energy (eV/atom): -7.0801

Unit cell a=3.3825 b=4.7590 c=8.4523 alpha=90.00 beta=90.00 gamma=90.00
Closest atoms and distances in Å follow each position.
Fractional coordinates of all 6 atoms:
Zr1 0.0000 0.0000 0.2818  4 V 2.72-2.84
V1 0.5000 0.0000 0.5341  4 Zr 2.72-2.84, 4 V 2.98
Zr2 0.5000 0.5000 0.7182  4 V 2.72-2.84
V2 0.0000 0.5000 0.4659  4 Zr 2.72-2.84, 4 V 2.98
Tb1 0.5000 0.5000 0.1311  5 Zr 3.19-3.49, 2 V 3.30, 2 Tb 3.38
Tb2 0.0000 0.0000 0.8689  5 Zr 3.19-3.49, 2 V 3.30, 2 Tb 3.38

=====

DFT (PBE) results for crystalline Tb2ZrV at its relaxed geometry.

Properties
DFT formation energy (meV per atom): 608
Crystal system: trigonal
Total energy (eV/atom): -6.1242

Unit cell a=3.2806 b=3.2806 c=11.2041 alpha=81.58 beta=81.58 gamma=60.00
Closest atoms and distances in Å follow each position.
Fractional coordinates of all 4 atoms:
Zr1 0.5000 0.5000 0.5000  6 Zr 3.28, 6 Tb 3.30
V1 0.0000 0.0000 0.0000  2 Tb 2.82
Tb1 0.9150 0.9150 0.2550  1 V 2.82
Tb2 0.0850 0.0850 0.7450  1 V 2.82

=====

DFT (PBE) results for crystalline Tb2ZnW at its relaxed geometry.

Properties
DFT formation energy (meV per atom): 724
Crystal system: trigonal
Total energy (eV/atom): -5.1475

Unit cell a=3.1004 b=3.1004 c=11.0051 alpha=81.90 beta=81.90 gamma=60.00
Closest atoms and distances in Å follow each position.
Fractional coordinates of all 4 atoms:
Tb1 0.0883 0.0883 0.7351  1 W 2.88, 6 Tb 3.10, 3 Zn 3.12
Zn1 0.5000 0.5000 0.5000  6 Zn 3.10, 6 Tb 3.12
Tb2 0.9117 0.9117 0.2649  1 W 2.88, 6 Tb 3.10, 3 Zn 3.12
W1 0.0000 0.0000 0.0000  2 Tb 2.88, 6 W 3.10

=====

DFT (PBE) results for crystalline TbZrW4 at its relaxed geometry.

Properties
DFT formation energy (meV per atom): 32
Crystal system: cubic
Total energy (eV/atom): -10.7995

Unit cell a=5.4841 b=5.4841 c=5.4841 alpha=60.00 beta=60.00 gamma=60.00
Closest atoms and distances in Å follow each position.
Fractional coordinates of all 6 atoms:
Tb1 0.2500 0.2500 0.2500  12 W 3.21, 4 Zr 3.36
W1 0.6248 0.6248 0.1255  6 W 2.74-2.75
W2 0.6248 0.6248 0.6248  6 W 2.74-2.75
W3 0.1255 0.6248 0.6248  6 W 2.74-2.75
Zr1 0.0000 0.0000 0.0000  12 W 3.22, 4 Tb 3.36
W4 0.6248 0.1255 0.6248  6 W 2.74-2.75

=====

DFT (PBE) results for crystalline TbY4 at its relaxed geometry.

Properties
Excess energy over the best structure of this formula in the dataset (eV/atom): 0.660
DFT formation energy (meV per atom): 682
Crystal system: cubic
Total energy (eV/atom): -5.4151

Unit cell a=5.6404 b=5.6404 c=5.6404 alpha=90.00 beta=90.00 gamma=90.00
Closest atoms and distances in Å follow each position.
Fractional coordinates of all 5 atoms:
Y1 0.0000 0.0000 0.0000  12 Y 3.99
Y2 0.0000 0.5000 0.5000  2 Tb 2.82
Y3 0.5000 0.5000 0.0000  2 Tb 2.82
Y4 0.5000 0.0000 0.5000  2 Tb 2.82
Tb1 0.5000 0.5000 0.5000  6 Y 2.82

=====

DFT (PBE) results for crystalline TbY7 at its relaxed geometry.

Properties
Excess energy over the best structure of this formula in the dataset (eV/atom): 0.000
DFT formation energy (meV per atom): 25
Crystal system: cubic
Total energy (eV/atom): -6.2097

Unit cell a=7.1360 b=7.1360 c=7.1360 alpha=60.00 beta=60.00 gamma=60.00
Closest atoms and distances in Å follow each position.
Fractional coordinates of all 8 atoms:
Y1 0.5000 0.5000 0.5000  12 Y 3.57
Tb1 0.0000 0.0000 0.0000  12 Y 3.57
Y2 0.0000 0.5000 0.5000  10 Y 3.57, 2 Tb 3.57
Y3 0.5000 0.0000 0.0000  10 Y 3.57, 2 Tb 3.57
Y4 0.5000 0.5000 0.0000  2 Tb 3.57, 10 Y 3.57
Y5 0.5000 0.0000 0.5000  10 Y 3.57, 2 Tb 3.57
Y6 0.0000 0.5000 0.0000  10 Y 3.57, 2 Tb 3.57
Y7 0.0000 0.0000 0.5000  10 Y 3.57, 2 Tb 3.57